Below is K2ReHg after structural relaxation, with properties calculated at the PBE level.

Properties
Total magnetic moment   1.86 μB/f.u.
E   -2.61 eV/atom
Formation enthalpy at 0 K   1.130 eV/atom

Geometry as POSCAR:
```
K2ReHg
1.0
6.526 -0.265 0.000
-1.436 6.372 0.000
0.000 0.000 2.798
K Re Hg
2 1 1
Cartesian
0.000 0.000 0.000
2.545 3.054 0.000
3.263 -0.132 1.399
-0.718 3.186 1.399
```